Entry 1:
This record from the Alexandria database describes a crystal of Fe2HOs relaxed with PBEsol. The functional is SCAN.

Lattice parameters (Å, degrees): 5.473 5.473 5.473 90.00 90.00 90.00
Space group Fm-3m (No. 225)
Unique sites:
Fe: 0.250 0.250 0.250 (multiplicity 8)
H: 0.000 0.000 0.000 (multiplicity 4)
Os: 0.000 0.000 0.500 (multiplicity 4)

Properties
* crystal system: cubic
* total energy: -1.9768 Ry per atom


Entry 2:
This record from the Alexandria database describes a crystal of BeCrRu2 relaxed with PBEsol. The functional is SCAN.

Lattice parameters (Å, degrees): 5.767 5.767 5.767 90.00 90.00 90.00
Space group F-43m (No. 216)
Unique sites:
Be: 0.000 0.000 0.000 (multiplicity 4)
Cr: 0.250 0.250 0.250 (multiplicity 4)
Ru: 0.000 0.000 0.500 (multiplicity 4)
Ru: 0.250 0.250 0.750 (multiplicity 4)

Properties
* crystal system: cubic
* total energy: -1.6880 Ry per atom


Entry 3:
This record from the Alexandria database describes a crystal of K2ScCo relaxed with PBEsol. The functional is SCAN.

Lattice parameters (Å, degrees): 4.133 4.133 5.996 90.00 90.00 90.00
Space group P4/mmm (No. 123)
Unique sites:
K: 0.000 0.500 0.000 (multiplicity 2)
Sc: 0.000 0.000 0.500 (multiplicity 1)
Co: 0.500 0.500 0.500 (multiplicity 1)

Properties
* crystal system: tetragonal
* total energy: -0.8146 Ry per atom


Entry 4:
This record from the Alexandria database describes a crystal of Cd2AsO4F relaxed with PBEsol. The functional is SCAN.

Lattice parameters (Å, degrees): 14.334 6.883 10.797 90.00 120.64 90.00
Space group C2/c (No. 15)
Unique sites:
Cd: 0.052 0.241 0.490 (multiplicity 8)
Cd: 0.153 0.395 0.848 (multiplicity 8)
As: 0.177 0.094 0.307 (multiplicity 8)
O: 0.082 0.035 0.135 (multiplicity 8)
O: 0.131 0.289 0.359 (multiplicity 8)
O: 0.194 0.090 0.924 (multiplicity 8)
O: 0.204 0.347 0.685 (multiplicity 8)
F: 0.011 0.416 0.889 (multiplicity 8)

Properties
* crystal system: monoclinic
* total energy: -1.1255 Ry per atom
* E_form (uncorrected): -1256 kJ/mol of formula units


Entry 5:
This record from the Alexandria database describes a crystal of MnCdTc2 relaxed with PBEsol. The functional is SCAN.

Lattice parameters (Å, degrees): 3.234 4.363 8.403 90.00 90.00 90.00
Space group Imm2 (No. 44)
Unique sites:
Mn: 0.000 0.000 0.000 (multiplicity 2)
Cd: 0.000 0.500 0.240 (multiplicity 2)
Tc: 0.000 0.000 0.470 (multiplicity 2)
Tc: 0.000 0.500 0.740 (multiplicity 2)

Properties
* crystal system: orthorhombic
* total energy: -2.1663 Ry per atom


Entry 6:
This record from the Alexandria database describes a crystal of Tl2CdRhW relaxed with PBEsol. The functional is SCAN.

Lattice parameters (Å, degrees): 5.156 5.156 4.914 90.00 90.00 90.00
Space group P4/mmm (No. 123)
Unique sites:
Tl: 0.000 0.500 0.000 (multiplicity 2)
Cd: 0.000 0.000 0.000 (multiplicity 1)
Rh: 0.000 0.000 0.500 (multiplicity 1)
W: 0.500 0.500 0.500 (multiplicity 1)

Properties
* crystal system: tetragonal
* total energy: -3.9504 Ry per atom


Entry 7:
This record from the Alexandria database describes a crystal of ZrMnSb2Pb relaxed with PBEsol. The functional is SCAN.

Lattice parameters (Å, degrees): 5.602 5.602 4.786 90.00 90.00 90.00
Space group P4/mmm (No. 123)
Unique sites:
Zr: 0.000 0.000 0.000 (multiplicity 1)
Mn: 0.500 0.500 0.000 (multiplicity 1)
Sb: 0.000 0.500 0.500 (multiplicity 2)
Pb: 0.500 0.500 0.500 (multiplicity 1)

Properties
* crystal system: tetragonal
* total energy: -2.8566 Ry per atom
* E_form (uncorrected): 476 kJ/mol of formula units


Entry 8:
This record from the Alexandria database describes a crystal of Li4MnF8 relaxed with PBEsol. The functional is SCAN.

Lattice parameters (Å, degrees): 5.578 5.578 8.608 90.00 90.00 90.00
Space group I4/mmm (No. 139)
Unique sites:
Li: 0.250 0.250 0.250 (multiplicity 8)
Mn: 0.000 0.000 0.000 (multiplicity 2)
F: 0.000 0.000 0.216 (multiplicity 4)
F: 0.000 0.500 0.250 (multiplicity 4)
F: 0.227 0.227 0.000 (multiplicity 8)

Properties
* crystal system: tetragonal
* total energy: -0.5310 Ry per atom
* E_form (uncorrected): -3646 kJ/mol of formula units


Entry 9:
This record from the Alexandria database describes a crystal of Sc2CoPt relaxed with PBEsol. The functional is SCAN.

Lattice parameters (Å, degrees): 6.353 6.353 6.353 90.00 90.00 90.00
Space group Fm-3m (No. 225)
Unique sites:
Sc: 0.250 0.250 0.250 (multiplicity 8)
Co: 0.000 0.000 0.000 (multiplicity 4)
Pt: 0.000 0.000 0.500 (multiplicity 4)

Properties
* crystal system: cubic
* total energy: -2.2050 Ry per atom


Entry 10:
This record from the Alexandria database describes a crystal of MnAl2Se relaxed with PBEsol. The functional is SCAN.

Lattice parameters (Å, degrees): 3.822 3.822 8.127 90.00 90.00 90.00
Space group I4/mmm (No. 139)
Unique sites:
Mn: 0.000 0.000 0.000 (multiplicity 2)
Al: 0.000 0.500 0.250 (multiplicity 4)
Se: 0.000 0.000 0.500 (multiplicity 2)

Properties
* crystal system: tetragonal
* total energy: -0.9856 Ry per atom
* E_form (uncorrected): 19 kJ/mol of formula units


Entry 11:
This record from the Alexandria database describes a crystal of ZrScSb2 relaxed with PBEsol. The functional is SCAN.

Lattice parameters (Å, degrees): 4.246 5.338 7.873 90.00 90.00 90.00
Space group Immm (No. 71)
Unique sites:
Zr: 0.000 0.000 0.000 (multiplicity 2)
Sc: 0.000 0.000 0.500 (multiplicity 2)
Sb: 0.000 0.500 0.244 (multiplicity 4)

Properties
* crystal system: orthorhombic
* total energy: -2.2443 Ry per atom
* E_form (uncorrected): -259 kJ/mol of formula units


Entry 12:
This record from the Alexandria database describes a crystal of Tc2AgOs relaxed with PBEsol. The functional is SCAN.

Lattice parameters (Å, degrees): 2.712 2.712 7.969 90.00 90.00 90.00
Space group P4mm (No. 99)
Unique sites:
Tc: 0.000 0.000 0.000 (multiplicity 1)
Tc: 0.500 0.500 0.246 (multiplicity 1)
Ag: 0.000 0.000 0.511 (multiplicity 1)
Os: 0.500 0.500 0.780 (multiplicity 1)

Properties
* crystal system: tetragonal
* total energy: -3.1581 Ry per atom


The lowest total energy belongs to which entry? Tl2CdRhW